No. 1
{
  "formula": "K2NbGeIr",
  "functional": "PBE",
  "state": "relaxed",
  "cell": [[-1.878, 3.390, 4.682], [2.758, -2.364, 2.818], [4.486, 3.960, -1.067]],
  "species": ["K", "K", "Nb", "Ir", "Ge"],
  "frac_coords": [[0.500, 0.000, 0.000], [0.000, 0.000, 0.500], [0.500, 0.500, 0.500], [0.000, 0.500, 0.000], [0.000, 0.000, 0.000]],
  "energy_ev_per_fu": -19.4,
  "total_magnetization_mub_per_cell": 4.4,
  "delta_e_f_ev_per_atom": 1.27,
  "spacegroup": "P4/mmm (123)"
}

No. 2
{
  "formula": "ErLuInNi",
  "functional": "PBE",
  "state": "relaxed",
  "cell": [[5.015, 0.000, 0.000], [2.508, 4.343, 0.000], [2.508, 1.448, 4.095]],
  "species": ["Er", "In", "Lu", "Ni"],
  "frac_coords": [[0.000, 0.000, 0.000], [0.750, 0.750, 0.750], [0.500, 0.500, 0.500], [0.250, 0.250, 0.250]],
  "energy_ev_per_fu": -18.9,
  "total_magnetization_mub_per_cell": 0.0,
  "delta_e_f_ev_per_atom": -0.34,
  "spacegroup": "F-43m (216)"
}

No. 3
{
  "formula": "GeSbPt",
  "functional": "PBE",
  "state": "relaxed",
  "cell": [[-0.975, -1.232, -4.227], [-1.190, -4.258, -0.890], [-4.255, -0.960, -1.144]],
  "species": ["Ge", "Sb", "Pt"],
  "frac_coords": [[0.500, 0.500, 0.500], [0.000, 0.000, 0.000], [0.250, 0.250, 0.250]],
  "energy_ev_per_fu": -15.6,
  "total_magnetization_mub_per_cell": 0.0,
  "raw_formation_energy_mev_per_atom": -283,
  "spacegroup": "F-43m (216)",
  "e_above_lowest_polymorph_mev_per_atom": 170
}

No. 4
{
  "formula": "BaAlCuS3",
  "functional": "PBE",
  "state": "relaxed",
  "cell": [[7.035, 0.059, -0.192], [3.349, 6.187, -0.192], [2.668, 1.605, 6.916]],
  "species": ["S", "S", "S", "S", "S", "S", "Ba", "Ba", "Al", "Al", "Cu", "Cu"],
  "frac_coords": [[0.804, 0.318, 0.192], [0.196, 0.682, 0.808], [0.764, 0.764, 0.352], [0.318, 0.804, 0.192], [0.236, 0.236, 0.648], [0.682, 0.196, 0.808], [0.700, 0.700, 0.792], [0.300, 0.300, 0.208], [0.046, 0.046, 0.739], [0.954, 0.954, 0.261], [0.725, 0.275, 0.500], [0.275, 0.725, 0.500]],
  "energy_ev_per_fu": -28.7,
  "total_magnetization_mub_per_cell": 0.0,
  "raw_formation_energy_mev_per_atom": -1098,
  "spacegroup": "C2/m (12)"
}

No. 5
{
  "formula": "LiNd2Al3Ag4",
  "functional": "PBE",
  "state": "relaxed",
  "cell": [[-2.481, -1.302, 3.443], [3.662, -1.296, 2.148], [0.904, 9.744, 4.337]],
  "species": ["Al", "Al", "Al", "Li", "Ag", "Ag", "Ag", "Ag", "Nd", "Nd"],
  "frac_coords": [[0.500, 0.000, 0.866], [0.000, 0.500, 0.134], [0.000, 0.000, 0.500], [0.500, 0.500, 0.500], [0.000, 0.500, 0.372], [0.000, 0.000, 0.000], [0.500, 0.000, 0.628], [0.500, 0.500, 0.000], [0.500, 0.000, 0.241], [0.000, 0.500, 0.759]],
  "energy_ev_per_fu": -37.1,
  "total_magnetization_mub_per_cell": 0.0,
  "delta_e_f_ev_per_atom": -0.30,
  "spacegroup": "P-4m2 (115)"
}

No. 6
{
  "formula": "NaMoOsPb2",
  "functional": "PBE",
  "state": "relaxed",
  "cell": [[-1.612, -4.827, 1.678], [2.193, -2.098, -3.928], [4.529, -0.534, 2.814]],
  "species": ["Pb", "Pb", "Os", "Na", "Mo"],
  "frac_coords": [[0.000, 0.000, 0.500], [0.500, 0.000, 0.000], [0.000, 0.000, 0.000], [0.500, 0.500, 0.500], [0.000, 0.500, 0.000]],
  "energy_ev_per_fu": -26.0,
  "total_magnetization_mub_per_cell": 2.7,
  "delta_e_f_ev_per_atom": 0.96,
  "spacegroup": "P4/mmm (123)"
}

No. 7
{
  "formula": "LiMnW2",
  "functional": "PBE",
  "state": "relaxed",
  "cell": [[5.023, -0.001, 0.002], [2.261, 4.486, -0.002], [-3.150, -3.042, 2.461]],
  "species": ["W", "W", "Li", "Mn"],
  "frac_coords": [[0.756, 0.256, 0.500], [0.018, 0.018, 0.000], [0.485, 0.485, 0.000], [0.242, 0.742, 0.500]],
  "energy_ev_per_fu": -35.4,
  "total_magnetization_mub_per_cell": 0.0,
  "delta_e_f_ev_per_atom": 0.40,
  "spacegroup": "Imm2 (44)",
  "e_above_lowest_polymorph_mev_per_atom": 68
}

No. 8
{
  "formula": "CsCd2SbBr8",
  "functional": "PBE",
  "state": "relaxed",
  "cell": [[7.079, 0.000, 0.000], [3.540, 6.131, 0.000], [3.540, 2.044, 10.707]],
  "species": ["Br", "Br", "Br", "Br", "Br", "Br", "Br", "Br", "Cs", "Cd", "Cd", "Sb"],
  "frac_coords": [[0.289, 0.919, 0.155], [0.363, 0.711, 0.845], [0.637, 0.289, 0.155], [0.711, 0.081, 0.845], [0.919, 0.637, 0.155], [0.824, 0.824, 0.527], [0.176, 0.176, 0.473], [0.081, 0.363, 0.845], [0.500, 0.500, 0.500], [0.744, 0.744, 0.767], [0.256, 0.256, 0.233], [0.000, 0.000, 0.000]],
  "energy_ev_per_fu": -31.0,
  "total_magnetization_mub_per_cell": 0.0,
  "raw_formation_energy_mev_per_atom": -902,
  "spacegroup": "R-3 (148)"
}

- What is the formula in the third record?
  GeSbPt